{
  "formula": "SmTi2MnN4",
  "functional": "PBE",
  "state": "optimized geometry",
  "dos_ef_per_ev_cell": 5.95,
  "e_tot_ev_per_cell": -145.70,
  "cell": [[1.575, -5.358, 0.000], [1.575, 5.358, 0.000], [0.000, 0.000, 10.484]],
  "species": ["Sm", "Sm", "Ti", "Ti", "Ti", "Ti", "Mn", "Mn", "N", "N", "N", "N", "N", "N", "N", "N"],
  "fractional_positions": [[0.103, 0.897, 0.750], [0.897, 0.103, 0.250], [0.370, 0.630, 0.543], [0.370, 0.630, 0.957], [0.630, 0.370, 0.043], [0.630, 0.370, 0.457], [0.160, 0.840, 0.250], [0.840, 0.160, 0.750], [0.000, 0.000, 0.000], [0.000, 0.000, 0.500], [0.267, 0.733, 0.113], [0.267, 0.733, 0.387], [0.429, 0.571, 0.750], [0.571, 0.429, 0.250], [0.733, 0.267, 0.613], [0.733, 0.267, 0.887]]
}

---

{
  "formula": "SrTa2AgO7",
  "functional": "PBE",
  "state": "optimized geometry",
  "dos_ef_per_ev_cell": 2.41,
  "e_tot_ev_per_cell": -89.20,
  "cell": [[-1.994, 1.994, 9.812], [1.994, -1.994, 9.812], [1.994, 1.994, -9.812]],
  "species": ["Sr", "Ta", "Ta", "Ag", "O", "O", "O", "O", "O", "O", "O"],
  "fractional_positions": [[0.000, 0.000, 0.000], [0.393, 0.393, 0.000], [0.607, 0.607, 0.000], [0.750, 0.250, 0.500], [0.094, 0.594, 0.500], [0.295, 0.295, 0.000], [0.406, 0.906, 0.500], [0.500, 0.500, 0.000], [0.598, 0.098, 0.500], [0.705, 0.705, 0.000], [0.902, 0.402, 0.500]]
}

---

{
  "formula": "BaZrCu2B",
  "functional": "PBE",
  "state": "optimized geometry",
  "dos_ef_per_ev_cell": 4.93,
  "delta_e_f_ev_per_atom": 2.5658,
  "cell": [[5.086, 0.000, 0.000], [0.000, 5.086, 0.000], [0.000, 0.000, 5.751]],
  "species": ["Ba", "Zr", "Cu", "Cu", "B"],
  "fractional_positions": [[0.000, 0.000, 0.000], [0.000, 0.000, 0.500], [0.000, 0.500, 0.000], [0.500, 0.000, 0.000], [0.500, 0.500, 0.500]]
}

---

{
  "formula": "ZnP2Rh",
  "functional": "PBE",
  "state": "optimized geometry",
  "dos_ef_per_ev_cell": 1.36,
  "delta_e_f_ev_per_atom": -0.1902,
  "cell": [[3.806, 0.000, 0.000], [0.000, 4.499, 0.000], [-1.898, 0.000, 3.838]],
  "species": ["Zn", "P", "P", "Rh"],
  "fractional_positions": [[0.000, 0.000, 0.000], [0.477, 0.500, 0.953], [0.677, 0.000, 0.354], [0.806, 0.500, 0.610]]
}

---

{
  "formula": "Pm6Al3Cd",
  "functional": "PBE",
  "state": "optimized geometry",
  "dos_ef_per_ev_cell": 16.52,
  "delta_e_f_ev_per_atom": -0.2676,
  "cell": [[9.467, 0.000, 0.000], [0.000, 5.227, 0.000], [-3.486, 0.000, 11.099]],
  "species": ["Pm", "Pm", "Pm", "Pm", "Pm", "Pm", "Pm", "Pm", "Pm", "Pm", "Pm", "Pm", "Al", "Al", "Al", "Al", "Al", "Al", "Cd", "Cd"],
  "fractional_positions": [[0.046, 0.250, 0.415], [0.157, 0.750, 0.178], [0.233, 0.250, 0.995], [0.326, 0.750, 0.793], [0.375, 0.250, 0.349], [0.398, 0.250, 0.624], [0.602, 0.750, 0.376], [0.625, 0.750, 0.651], [0.674, 0.250, 0.207], [0.767, 0.750, 0.005], [0.843, 0.250, 0.822], [0.954, 0.750, 0.585], [0.035, 0.750, 0.877], [0.116, 0.250, 0.714], [0.272, 0.750, 0.473], [0.728, 0.250, 0.527], [0.884, 0.750, 0.286], [0.965, 0.250, 0.123], [0.460, 0.750, 0.089], [0.540, 0.250, 0.911]]
}

---

{
  "formula": "Pr2YRu",
  "functional": "PBE",
  "state": "optimized geometry",
  "dos_ef_per_ev_cell": 6.68,
  "delta_e_f_ev_per_atom": 0.2302,
  "polymorph_energy_ev_per_atom": 0.431,
  "cell": [[1.829, 1.056, 10.670], [-1.829, 1.056, 10.670], [0.000, -2.111, 10.670]],
  "species": ["Pr", "Pr", "Y", "Ru"],
  "fractional_positions": [[0.107, 0.107, 0.107], [0.893, 0.893, 0.893], [0.000, 0.000, 0.000], [0.500, 0.500, 0.500]]
}

---

{
  "formula": "LiMg2Ga",
  "functional": "PBE",
  "state": "optimized geometry",
  "dos_ef_per_ev_cell": 1.36,
  "delta_e_f_ev_per_atom": -0.1553,
  "cell": [[4.417, 0.000, 0.000], [0.000, 4.417, 0.000], [0.000, 0.000, 3.908]],
  "species": ["Li", "Mg", "Mg", "Ga"],
  "fractional_positions": [[0.000, 0.000, 0.000], [0.000, 0.500, 0.500], [0.500, 0.000, 0.500], [0.500, 0.500, 0.000]]
}

---

{
  "formula": "KPd2Ru",
  "functional": "PBE",
  "state": "optimized geometry",
  "dos_ef_per_ev_cell": 4.22,
  "delta_e_f_ev_per_atom": 0.8030,
  "polymorph_energy_ev_per_atom": 0.000,
  "cell": [[0.000, 3.339, 3.339], [3.339, 0.000, 3.339], [3.339, 3.339, 0.000]],
  "species": ["K", "Pd", "Pd", "Ru"],
  "fractional_positions": [[0.000, 0.000, 0.000], [0.250, 0.250, 0.250], [0.750, 0.750, 0.750], [0.500, 0.500, 0.500]]
}

---

{
  "formula": "RbIrNF2",
  "functional": "PBE",
  "state": "optimized geometry",
  "dos_ef_per_ev_cell": 4.87,
  "polymorph_energy_ev_per_atom": 2.288,
  "cell": [[5.030, 0.000, 0.000], [0.000, 5.030, 0.000], [0.000, 0.000, 5.179]],
  "species": ["Rb", "Ir", "N", "F", "F"],
  "fractional_positions": [[0.000, 0.000, 0.000], [0.500, 0.500, 0.500], [0.000, 0.000, 0.500], [0.000, 0.500, 0.000], [0.500, 0.000, 0.000]]
}

---

{
  "formula": "Zr2AsO",
  "functional": "PBE",
  "state": "optimized geometry",
  "dos_ef_per_ev_cell": 1.66,
  "polymorph_energy_ev_per_atom": 0.259,
  "cell": [[0.000, 3.180, 3.180], [3.180, 0.000, 3.180], [3.180, 3.180, 0.000]],
  "species": ["Zr", "Zr", "As", "O"],
  "fractional_positions": [[0.250, 0.250, 0.250], [0.750, 0.750, 0.750], [0.000, 0.000, 0.000], [0.500, 0.500, 0.500]]
}

---

{
  "formula": "Pm4Pr2In",
  "functional": "PBE",
  "state": "optimized geometry",
  "dos_ef_per_ev_cell": 17.04,
  "delta_e_f_ev_per_atom": -0.0566,
  "polymorph_energy_ev_per_atom": 0.000,
  "cell": [[5.819, 0.000, 0.000], [0.000, 6.834, 0.000], [-2.777, 0.000, 11.622]],
  "species": ["Pm", "Pm", "Pm", "Pm", "Pm", "Pm", "Pm", "Pm", "Pr", "Pr", "Pr", "Pr", "In", "In"],
  "fractional_positions": [[0.077, 0.250, 0.120], [0.286, 0.750, 0.439], [0.353, 0.505, 0.718], [0.353, 0.995, 0.718], [0.647, 0.005, 0.282], [0.647, 0.495, 0.282], [0.714, 0.250, 0.561], [0.923, 0.750, 0.880], [0.155, 0.250, 0.421], [0.494, 0.750, 0.025], [0.506, 0.250, 0.975], [0.845, 0.750, 0.579], [0.065, 0.750, 0.168], [0.935, 0.250, 0.832]]
}

---

{
  "formula": "NbPbCN2",
  "functional": "PBE",
  "state": "optimized geometry",
  "dos_ef_per_ev_cell": 4.24,
  "e_tot_ev_per_cell": -29.39,
  "cell": [[4.060, 0.000, 0.000], [0.000, 4.060, 0.000], [0.000, 0.000, 4.169]],
  "species": ["Nb", "Pb", "C", "N", "N"],
  "fractional_positions": [[0.000, 0.000, 0.000], [0.500, 0.500, 0.000], [0.000, 0.000, 0.500], [0.000, 0.500, 0.500], [0.500, 0.000, 0.500]]
}